# 1
This record from Alexandria describes a relaxed TmSi4Ni6 crystal. The functional is PBE.

As for the density of states at the Fermi level: 4.7 states/eV/f.u. The calculation puts the uncorrected formation energy at -0.696 eV/atom. The total energy is -68.51 eV/cell.

It has space group P-6m2 (No. 187), with a = 6.6138 Å, b = 6.6138 Å, c = 3.6715 Å, α = 90.00°, β = 90.00° and γ = 120.00°. Symmetry generates all atoms from Tm at (0.0000, 0.0000, 0.0000), Si at (0.3333, 0.6667, 0.0000), Si at (0.3904, 0.1952, 0.5000), Ni at (0.2037, 0.4074, 0.5000) and Ni at (0.5352, 0.0705, 0.0000).

---

# 2
This record from Alexandria describes a relaxed Cd6Ag10Sn crystal. The functional is PBE.

Its formation energy from the elements is -4 meV/atom. As for the density of states at the Fermi level: 3.0 states/eV/f.u. The total energy is -38.07 eV/cell.

It has space group P-31m (No. 162), with a = 8.1982 Å, b = 8.1982 Å, c = 5.7962 Å, α = 90.00°, β = 90.00° and γ = 120.00°. Symmetry generates all atoms from Cd at (0.0000, 0.3734, 0.3015), Ag at (0.0000, 0.2824, 0.8260), Ag at (0.3333, 0.6667, 0.0000), Ag at (0.3333, 0.6667, 0.5000) and Sn at (0.0000, 0.0000, 0.5000).

---

# 3
This record from Alexandria describes a relaxed Tl2Ga3Sn crystal. The functional is PBE.

Its formation energy from the elements is 101 meV/atom. As for the density of states at the Fermi level: 3.5 states/eV/f.u. The total energy is -68.85 eV/cell.

It has space group Cmcm (No. 63), with a = 13.567 Å, b = 8.105 Å, c = 5.753 Å, α = 90.00°, β = 90.00° and γ = 90.00°. Symmetry generates all atoms from Tl at (0.175, 0.165, 0.250), Ga at (0.000, 0.000, 0.000), Ga at (0.147, 0.500, 0.000) and Sn at (0.000, 0.310, 0.750).

---

# 4
This record from Alexandria describes a relaxed KFe2P crystal. The functional is PBE.

Its formation energy from the elements is 406 meV/atom. As for the density of states at the Fermi level: 3.9 states/eV/f.u. The total energy is -21.81 eV/cell.

It has space group P2/m (No. 10), with a = 3.829 Å, b = 3.783 Å, c = 6.404 Å, α = 90.00°, β = 104.40° and γ = 90.00°. Symmetry generates all atoms from K at (0.000, 0.000, 0.000), Fe at (0.284, 0.500, 0.602) and P at (0.500, 0.000, 0.500).

---

# 5
This record from Alexandria describes a relaxed In12Bi4Pb crystal. The functional is PBE.

Its formation energy from the elements is 158 meV/atom. As for the density of states at the Fermi level: 10.1 states/eV/f.u. The total energy is -98.80 eV/cell.

It has space group Im-3 (No. 204), with a = 10.537 Å, b = 10.537 Å, c = 10.537 Å, α = 90.00°, β = 90.00° and γ = 90.00°. Symmetry generates all atoms from In at (0.000, 0.141, 0.355), Bi at (0.250, 0.250, 0.250) and Pb at (0.000, 0.000, 0.000).

---

# 6
This record from Alexandria describes a relaxed Ca2AlRe crystal. The functional is PBE.

Its formation energy from the elements is 621 meV/atom. As for the density of states at the Fermi level: 3.1 states/eV/f.u. The total energy is -53.13 eV/cell.

It has space group R-3m (No. 166, hexagonal axes), with a = 3.1714 Å, b = 3.1714 Å, c = 30.4929 Å, α = 90.00°, β = 90.00° and γ = 120.00°. Symmetry generates all atoms from Ca at (0.0000, 0.0000, 0.2455), Al at (0.0000, 0.0000, 0.0000) and Re at (0.0000, 0.0000, 0.5000).

---

# 7
This record from Alexandria describes a relaxed ZrCu crystal. The functional is PBE.

Its formation energy from the elements is 62 meV/atom. As for the density of states at the Fermi level: 2.6 states/eV/f.u. The total energy is -50.08 eV/cell.

It has space group P2_13 (No. 198), with a = 5.263 Å, b = 5.263 Å, c = 5.263 Å, α = 90.00°, β = 90.00° and γ = 90.00°. Symmetry generates all atoms from Zr at (0.075, 0.075, 0.075) and Cu at (0.090, 0.590, 0.910).

---

# 8
This record from Alexandria describes a relaxed Ti5Ge2Pd12 crystal. The functional is PBE.

Its formation energy from the elements is -325 meV/atom. As for the density of states at the Fermi level: 9.5 states/eV/f.u. The total energy is -234.38 eV/cell.

It has space group C2/m (No. 12), with a = 14.583 Å, b = 5.400 Å, c = 8.704 Å, α = 90.00°, β = 107.35° and γ = 90.00°. Symmetry generates all atoms from Ti at (0.000, 0.000, 0.000), Ti at (0.140, 0.500, 0.350), Ti at (0.173, 0.500, 0.833), Ge at (0.000, 0.255, 0.500), Pd at (0.009, 0.500, 0.855), Pd at (0.078, 0.000, 0.770), Pd at (0.166, 0.250, 0.090) and Pd at (0.195, 0.243, 0.604).

---

# 9
This record from Alexandria describes a relaxed K2ZnAs crystal. The functional is PBE.

Its formation energy from the elements is -6 meV/atom. The polymorph energy (0 for the lowest one) is 254 meV per atom. As for the density of states at the Fermi level: 1.5 states/eV/f.u. The total energy is -16.29 eV/cell.

It has space group I4/mmm (No. 139), with a = 5.109 Å, b = 5.109 Å, c = 9.249 Å, α = 90.00°, β = 90.00° and γ = 90.00°. Symmetry generates all atoms from K at (0.000, 0.500, 0.250), Zn at (0.000, 0.000, 0.000) and As at (0.000, 0.000, 0.500).

---

# 10
This record from Alexandria describes a relaxed Sm4Tm3Al4 crystal. The functional is PBE.

Its formation energy from the elements is -67 meV/atom. As for the density of states at the Fermi level: 14.4 states/eV/f.u. The total energy is -95.99 eV/cell.

It has space group Immm (No. 71), with a = 4.441 Å, b = 9.104 Å, c = 15.505 Å, α = 90.00°, β = 90.00° and γ = 90.00°. Symmetry generates all atoms from Sm at (0.000, 0.177, 0.164), Tm at (0.000, 0.000, 0.385), Tm at (0.000, 0.500, 0.500), Al at (0.000, 0.355, 0.000) and Al at (0.000, 0.500, 0.247).

---

# 11
This record from Alexandria describes a relaxed KMnAs2Au crystal. The functional is PBE.

Its formation energy from the elements is -240 meV/atom. As for the density of states at the Fermi level: 1.2 states/eV/f.u. The total energy is -96.17 eV/cell.

It has space group Cmme (No. 67), with a = 5.917 Å, b = 14.334 Å, c = 5.763 Å, α = 90.00°, β = 90.00° and γ = 90.00°. Symmetry generates all atoms from K at (0.000, 0.250, 0.206), Mn at (0.250, 0.000, 0.500), As at (0.000, 0.116, 0.671) and Au at (0.000, 0.000, 0.000).

---

# 12
This record from Alexandria describes a relaxed Pm4Dy4Sc3 crystal. The functional is PBE.

Its formation energy from the elements is 108 meV/atom. As for the density of states at the Fermi level: 21.0 states/eV/f.u. The total energy is -55.22 eV/cell.

It has space group P-1 (No. 2), with a = 3.426 Å, b = 5.574 Å, c = 17.756 Å, α = 81.00°, β = 84.47° and γ = 90.00°. Symmetry generates all atoms from Pm at (0.089, 0.090, 0.321), Pm at (0.230, 0.730, 0.040), Dy at (0.045, 0.546, 0.409), Dy at (0.179, 0.179, 0.142), Sc at (0.366, 0.365, 0.769) and Sc at (0.500, 0.000, 0.500).

---

# 13
This record from Alexandria describes a relaxed AsPdRh3 crystal. The functional is PBE.

Its formation energy from the elements is 585 meV/atom. The polymorph energy (0 for the lowest one) is 0 meV per atom. As for the density of states at the Fermi level: 8.1 states/eV/f.u. The total energy is -28.97 eV/cell.

It has space group Pm-3m (No. 221), with a = 4.515 Å, b = 4.515 Å, c = 4.515 Å, α = 90.00°, β = 90.00° and γ = 90.00°. Symmetry generates all atoms from As at (0.000, 0.000, 0.000), Pd at (0.500, 0.500, 0.500) and Rh at (0.000, 0.000, 0.500).

---

# 14
This record from Alexandria describes a relaxed Ce2GeRh crystal. The functional is PBE.

Its formation energy from the elements is -182 meV/atom. As for the density of states at the Fermi level: 6.5 states/eV/f.u. The total energy is -73.70 eV/cell.

It has space group R-3m (No. 166, hexagonal axes), with a = 3.1103 Å, b = 3.1103 Å, c = 30.5582 Å, α = 90.00°, β = 90.00° and γ = 120.00°. Symmetry generates all atoms from Ce at (0.0000, 0.0000, 0.0823), Ge at (0.0000, 0.0000, 0.5000) and Rh at (0.0000, 0.0000, 0.0000).

---

# 15
This record from Alexandria describes a relaxed Hf5Pa crystal. The functional is PBE.

Its formation energy from the elements is 94 meV/atom. The polymorph energy (0 for the lowest one) is 10 meV per atom. As for the density of states at the Fermi level: 8.3 states/eV/f.u. The total energy is -117.40 eV/cell.

It has space group P-1 (No. 2), with a = 6.122 Å, b = 6.124 Å, c = 8.450 Å, α = 95.99°, β = 96.17° and γ = 117.52°. Symmetry generates all atoms from Hf at (0.061, 0.312, 0.282), Hf at (0.112, 0.856, 0.395), Hf at (0.228, 0.486, 0.946), Hf at (0.274, 0.030, 0.054), Hf at (0.391, 0.639, 0.606) and Pa at (0.442, 0.193, 0.725).

---

# 16
This record from Alexandria describes a relaxed HgPBr3 crystal. The functional is PBE.

The polymorph energy (0 for the lowest one) is 0 meV per atom. As for the density of states at the Fermi level: 0.0 states/eV/f.u. The calculation puts the uncorrected formation energy at -0.282 eV/atom. The total energy is -48.56 eV/cell.

It has space group Cmc2_1 (No. 36), with a = 10.089 Å, b = 8.155 Å, c = 8.933 Å, α = 90.00°, β = 90.00° and γ = 90.00°. Symmetry generates all atoms from Hg at (0.000, 0.205, 0.000), P at (0.000, 0.498, 0.449), Br at (0.000, 0.086, 0.595) and Br at (0.177, 0.482, 0.292).

---

# 17
This record from Alexandria describes a relaxed Pr3Tm crystal. The functional is PBE.

Its formation energy from the elements is 32 meV/atom. The polymorph energy (0 for the lowest one) is 19 meV per atom. As for the density of states at the Fermi level: 6.8 states/eV/f.u. The total energy is -37.36 eV/cell.

It has space group Imm2 (No. 44), with a = 3.706 Å, b = 11.858 Å, c = 6.356 Å, α = 90.00°, β = 90.00° and γ = 90.00°. Symmetry generates all atoms from Pr at (0.000, 0.000, 0.000), Pr at (0.000, 0.246, 0.664) and Tm at (0.000, 0.500, 0.998).